No. 1
First-principles (GGA-PBE) data for KScIr2 after structural relaxation, as listed in the Alexandria database.

Cell and atoms, written as POSCAR:
```
KScIr2
1.0
2.904 0.000 0.000
0.000 3.899 0.000
0.000 0.000 7.664
K Sc Ir
1 1 2
direct
0.000 0.000 0.000
0.000 0.000 0.500
0.500 0.500 0.326
0.500 0.500 0.674
```

Space-group type: Pmmm
Crystal system: orthorhombic
ΔE to the lowest computed polymorph, meV per atom: 104.3
Magnetic moment, μB per cell: 0.54
Energy relative to the elements, eV per atom: 0.07
DOS(E_F), states/eV per atom: 0.994
Final energy, eV per atom: -6.22


No. 2
First-principles (GGA-PBE) data for Ac3PmS after structural relaxation, as listed in the Alexandria database.

Cell and atoms, written as POSCAR:
```
Ac3PmS
1.0
5.845 0.000 0.000
0.000 5.845 0.000
0.000 0.000 5.845
Ac Pm S
3 1 1
direct
0.000 0.000 0.500
0.000 0.500 0.000
0.500 0.000 0.000
0.500 0.500 0.500
0.000 0.000 0.000
```

Space-group type: Pm-3m
Crystal system: cubic
Magnetic moment, μB per cell: 0.00
DOS(E_F), states/eV per atom: 1.104
Final energy, eV per atom: -4.90
Formation energy without anion corrections, meV/atom: -661


No. 3
First-principles (GGA-PBE) data for Co2PtW after structural relaxation, as listed in the Alexandria database.

Cell and atoms, written as POSCAR:
```
Co2PtW
1.0
1.354 0.782 8.616
-1.354 0.782 8.616
0.000 -1.563 8.616
Co Pt W
2 1 1
direct
0.000 0.000 0.000
0.260 0.260 0.260
0.508 0.508 0.508
0.751 0.751 0.751
```

Space-group type: R3m
Crystal system: trigonal
ΔE to the lowest computed polymorph, meV per atom: 229.6
Magnetic moment, μB per cell: 3.02
Energy relative to the elements, eV per atom: 0.11
DOS(E_F), states/eV per atom: 1.090
Final energy, eV per atom: -8.19